# 1
VASP calculation (GGA-PBE) on a relaxed HoNiAs crystal.

Cell lengths 3.7620, 3.7636, 10.2968 Å; angles 89.97, 90.00, 119.99 degrees
Closest atoms and distances in Å follow each position.
Atoms (fractional coordinates):
As (0.1668, 0.3337, 0.8402)  4 Ni 2.35-2.40
Ho (0.8338, 0.6676, 0.6440)  1 Ni 2.91, 3 As 2.97
Ni (0.8335, 0.6670, 0.9271)  4 As 2.35-2.40
Ho (0.1662, 0.3324, 0.3560)  1 Ni 2.91, 3 As 2.97
As (0.8332, 0.6663, 0.1598)  4 Ni 2.35-2.40
Ni (0.1665, 0.3330, 0.0729)  4 As 2.35-2.40

Computed properties:
Volume   21.0 A^3/atom
Raw total energy   -5.45 eV per atom


# 2
VASP calculation (GGA-PBE) on a relaxed PuMgH3 crystal.

Cell lengths 5.9611, 5.9611, 6.7073 Å; angles 90.00, 90.00, 74.31 degrees
Closest atoms and distances in Å follow each position.
Atoms (fractional coordinates):
Pu (0.0454, 0.0454, 0.7500)  10 H 2.26-2.53
Mg (0.0000, 0.5000, 0.0000)  4 H 1.88-2.06
H (0.2562, 0.7438, 0.0000)  2 H 2.36, 2 Mg 2.38, 4 Pu 2.44-2.53
Mg (0.0000, 0.5000, 0.5000)  4 H 1.88-2.06
H (0.8488, 0.8488, 0.5518)  2 Mg 2.06, 2 Pu 2.26-2.29
H (0.2562, 0.7438, 0.5000)  2 H 2.36, 2 Mg 2.38, 4 Pu 2.44-2.53
H (0.1512, 0.1512, 0.4482)  2 Mg 2.06, 2 Pu 2.26-2.29
H (0.8488, 0.8488, 0.9482)  2 Mg 2.06, 2 Pu 2.26-2.29
H (0.8701, 0.6038, 0.2500)  2 Mg 1.88, 1 H 1.92
H (0.7438, 0.2562, 0.0000)  2 H 2.36, 2 Mg 2.38, 4 Pu 2.44-2.53
H (0.3962, 0.1299, 0.7500)  2 Mg 1.88, 1 H 1.92
H (0.6038, 0.8701, 0.2500)  2 Mg 1.88, 1 H 1.92
Pu (0.4790, 0.4790, 0.7500)  6 H 2.26-2.44
Mg (0.5000, 0.0000, 0.5000)  4 H 1.88-2.06
Pu (0.9546, 0.9546, 0.2500)  10 H 2.26-2.53
Pu (0.5210, 0.5210, 0.2500)  6 H 2.26-2.44
H (0.1299, 0.3962, 0.7500)  2 Mg 1.88, 1 H 1.92
Mg (0.5000, 0.0000, 0.0000)  4 H 1.88-2.06
H (0.7438, 0.2562, 0.5000)  2 H 2.36, 2 Mg 2.38, 4 Pu 2.44-2.53
H (0.1512, 0.1512, 0.0518)  2 Mg 2.06, 2 Pu 2.26-2.29

Computed properties:
Volume   11.5 A^3/atom
Raw total energy   -5.34 eV per atom


# 3
VASP calculation (GGA-PBE) on a relaxed KRb3Co crystal.

Cell lengths 7.7809, 7.7809, 7.7809 Å; angles 90.00, 90.00, 90.00 degrees
Closest atoms and distances in Å follow each position.
Atoms (fractional coordinates):
Rb (0.0000, 0.5000, 0.0000)  2 K 3.89
Co (0.5000, 0.5000, 0.5000)  12 Rb 5.50
Rb (0.0000, 0.0000, 0.5000)  2 K 3.89
K (0.0000, 0.0000, 0.0000)  6 Rb 3.89
Rb (0.5000, 0.0000, 0.0000)  2 K 3.89

Computed properties:
Volume   94.2 A^3/atom
Raw total energy   -1.21 eV per atom


Look up the raw total energy of the third one.
-1.21 eV per atom


Which of these has the highest volume?
KRb3Co


raw total energy of number 2 (PuMgH3)?
-5.34 eV per atom


Which value of volume does entry 1 give?
21.0 A^3/atom